Here is crystalline Li4Cu3WO8 at its relaxed geometry from Alexandria. Energies are from PBE with a Hubbard U.

The structure in POSCAR format:
```
Li4Cu3WO8
1.0
5.783 0.000 0.000
-0.421 5.912 0.000
-2.442 -2.877 4.688
Li Cu W O
4 3 1 8
direct
0.000 0.000 0.000
0.000 0.500 0.000
0.500 0.000 0.500
0.500 0.500 0.500
0.000 0.000 0.500
0.000 0.500 0.500
0.500 0.000 0.000
0.500 0.500 0.000
0.247 0.792 0.568
0.261 0.305 0.048
0.268 0.295 0.573
0.299 0.756 0.048
0.701 0.244 0.952
0.732 0.705 0.427
0.739 0.695 0.952
0.753 0.208 0.432
```

Calculated values
**Density of states at the Fermi level**: 1.732 states/eV per cell
**Crystal system**: triclinic
**Electronic total energy**: -5.6046 eV per atom
**Symmetry**: P-1